Entry 1:
The following is a DFT calculation (GGA-PBE) of a geometry-optimized LiZr4Ag structure.

a = 5.7832 Å, b = 5.7832 Å, c = 5.7832 Å
α = 60.00°, β = 60.00°, γ = 60.00°
Atoms (fractional coordinates):
Li (0.0000, 0.0000, 0.0000)
Zr (0.1263, 0.6246, 0.6246)
Zr (0.6246, 0.1263, 0.6246)
Zr (0.6246, 0.6246, 0.1263)
Zr (0.6246, 0.6246, 0.6246)
Ag (0.2500, 0.2500, 0.2500)

* SG: F-43m


Entry 2:
The following is a DFT calculation (GGA-PBE) of a geometry-optimized Li2ZrAg structure.

a = 7.3408 Å, b = 7.3408 Å, c = 5.6545 Å
α = 90.00°, β = 90.00°, γ = 90.00°
Atoms (fractional coordinates):
Li (0.2128, 0.2500, 0.1250)
Li (0.2500, 0.7128, 0.3750)
Li (0.2500, 0.7872, 0.8750)
Li (0.2872, 0.2500, 0.6250)
Li (0.7128, 0.7500, 0.6250)
Li (0.7500, 0.2128, 0.8750)
Li (0.7500, 0.2872, 0.3750)
Li (0.7872, 0.7500, 0.1250)
Zr (0.0000, 0.0000, 0.5000)
Zr (0.0000, 0.5000, 0.7500)
Zr (0.5000, 0.0000, 0.2500)
Zr (0.5000, 0.5000, 0.0000)
Ag (0.0000, 0.0000, 0.0000)
Ag (0.0000, 0.5000, 0.2500)
Ag (0.5000, 0.0000, 0.7500)
Ag (0.5000, 0.5000, 0.5000)

* SG: I-42d


Entry 3:
The following is a DFT calculation (GGA-PBE) of a geometry-optimized Li2ZrAg structure.

a = 3.1137 Å, b = 3.1137 Å, c = 7.6405 Å
α = 90.00°, β = 90.00°, γ = 90.00°
Atoms (fractional coordinates):
Li (0.0000, 0.0000, 0.0000)
Li (0.5000, 0.5000, 0.2322)
Zr (0.0000, 0.0000, 0.5284)
Ag (0.5000, 0.5000, 0.7977)

* SG: P4mm


Entry 4:
The following is a DFT calculation (GGA-PBE) of a geometry-optimized LiZr2Ag structure.

a = 6.8290 Å, b = 6.8290 Å, c = 6.8290 Å
α = 90.00°, β = 90.00°, γ = 90.00°
Atoms (fractional coordinates):
Li (0.0000, 0.0000, 0.0000)
Li (0.0000, 0.5000, 0.5000)
Li (0.5000, 0.0000, 0.5000)
Li (0.5000, 0.5000, 0.0000)
Zr (0.2500, 0.2500, 0.2500)
Zr (0.2500, 0.2500, 0.7500)
Zr (0.2500, 0.7500, 0.2500)
Zr (0.2500, 0.7500, 0.7500)
Zr (0.7500, 0.2500, 0.2500)
Zr (0.7500, 0.2500, 0.7500)
Zr (0.7500, 0.7500, 0.2500)
Zr (0.7500, 0.7500, 0.7500)
Ag (0.0000, 0.0000, 0.5000)
Ag (0.0000, 0.5000, 0.0000)
Ag (0.5000, 0.0000, 0.0000)
Ag (0.5000, 0.5000, 0.5000)

* SG: Fm-3m


Entry 5:
The following is a DFT calculation (GGA-PBE) of a geometry-optimized Li4ZrAg structure.

a = 5.1947 Å, b = 5.1947 Å, c = 5.1947 Å
α = 60.00°, β = 60.00°, γ = 60.00°
Atoms (fractional coordinates):
Li (0.3765, 0.3765, 0.3765)
Li (0.3765, 0.3765, 0.8705)
Li (0.3765, 0.8705, 0.3765)
Li (0.8705, 0.3765, 0.3765)
Zr (0.0000, 0.0000, 0.0000)
Ag (0.7500, 0.7500, 0.7500)

* SG: F-43m


Entry 6:
The following is a DFT calculation (GGA-PBE) of a geometry-optimized LiZr2Ag structure.

a = 3.4929 Å, b = 4.5997 Å, c = 9.8826 Å
α = 90.00°, β = 90.00°, γ = 90.00°
Atoms (fractional coordinates):
Li (0.0000, 0.0000, 0.0000)
Li (0.5000, 0.5000, 0.5000)
Zr (0.0000, 0.5000, 0.2462)
Zr (0.0000, 0.5000, 0.7538)
Zr (0.5000, 0.0000, 0.2538)
Zr (0.5000, 0.0000, 0.7462)
Ag (0.0000, 0.0000, 0.5000)
Ag (0.5000, 0.5000, 0.0000)

* SG: Immm


We obtain Fermi-level density of states values of 1.207, 0.905, 0.747, 1.441, 0.588, 0.901 states/eV per atom for the records listed above, in that order.
We obtain DFT formation energy values of 0.464, 0.383, 0.047, 0.182, 0.169, 0.106 eV/atom for the records listed above, in that order.
We obtain uncorrected energy values of -36.18, -54.77, -15.04, -84.53, -18.04, -42.88 eV per cell for the records listed above, in that order.